No. 1
NaLiBPt2 | GGA-PBEsol | optimized geometry

Properties
Energy of formation from the pure elements: -1.33 eV/f.u.
SG: No. 123
Crystal system: tetragonal

Cell: 4.0519 4.0519 4.7625 Å, 90.00 90.00 90.00°
Closest atoms and distances in Å follow each position.
Sites, in units of the cell vectors:
Pt 0.0000 0.5000 0.0000  2 B 2.03
Pt 0.5000 0.0000 0.0000  2 B 2.03
B 0.0000 0.0000 0.0000  4 Pt 2.03
Na 0.0000 0.0000 0.5000  2 B 2.38
Li 0.5000 0.5000 0.5000  4 Na 2.87, 8 Pt 3.13


No. 2
LiNb2B | GGA-PBEsol | optimized geometry

Properties
Energy of formation from the pure elements: 1.59 eV/f.u.
SG: No. 122
Crystal system: tetragonal

Cell: 5.1093 5.3227 5.3227 Å, 76.68 61.32 61.32°
Closest atoms and distances in Å follow each position.
Sites, in units of the cell vectors:
Nb 0.3750 0.5333 0.9667  2 B 2.28
Nb 0.6583 0.9667 0.4667  2 B 2.28
Nb 0.8750 0.4667 0.0333  2 B 2.28
Nb 0.0917 0.0333 0.5333  2 B 2.28
Li 0.2500 0.5000 0.5000  2 B 2.55, 4 Nb 2.58
Li 0.5000 0.0000 0.0000  2 B 2.55, 4 Nb 2.58
B 0.0000 0.0000 0.0000  4 Nb 2.28
B 0.7500 0.5000 0.5000  4 Nb 2.28


No. 3
LiNbB2O6 | GGA-PBEsol | optimized geometry

Properties
SG: No. 14
E_form (uncorrected): -2.380 eV per atom
Crystal system: monoclinic

Cell: 4.9224 9.2270 11.3177 Å, 90.00 102.12 90.00°
Closest atoms and distances in Å follow each position.
Sites, in units of the cell vectors:
O 0.6063 0.1347 0.8994  1 B 1.35
O 0.1063 0.3653 0.3994  1 B 1.35
O 0.5923 0.8575 0.4645  1 B 1.38
O 0.3744 0.6087 0.5735  1 B 1.38
O 0.6256 0.3913 0.4265  1 B 1.38
O 0.2356 0.8221 0.6443  1 B 1.40
O 0.1985 0.5031 0.1856  1 B 1.37
O 0.7644 0.1779 0.3557  1 B 1.40
O 0.8015 0.4969 0.8144  1 B 1.37
O 0.2644 0.3221 0.8557  1 B 1.40
O 0.3015 0.0031 0.3144  1 B 1.37
O 0.0923 0.6425 0.9645  1 B 1.38
O 0.1256 0.1087 0.9265  1 B 1.38
O 0.2260 0.2456 0.1943  1 B 1.37
O 0.7740 0.7544 0.8057  1 B 1.37
O 0.8937 0.6347 0.6006  1 B 1.35
O 0.2740 0.7456 0.3057  1 B 1.37
O 0.7260 0.2544 0.6943  1 B 1.37
O 0.3937 0.8653 0.1006  1 B 1.35
O 0.6985 0.9969 0.6856  1 B 1.37
O 0.9077 0.3575 0.0355  1 B 1.38
O 0.7356 0.6779 0.1443  1 B 1.40
O 0.8744 0.8913 0.0735  1 B 1.38
O 0.4077 0.1425 0.5355  1 B 1.38
B 0.1097 0.3700 0.1393  3 O 1.37-1.38
B 0.8903 0.6300 0.8607  3 O 1.37-1.38
B 0.6097 0.1300 0.6393  3 O 1.37-1.38
B 0.6558 0.8186 0.1051  3 O 1.35-1.40
B 0.3442 0.1814 0.8949  3 O 1.35-1.40
B 0.1558 0.6814 0.6051  3 O 1.35-1.40
B 0.8442 0.3186 0.3949  3 O 1.35-1.40
B 0.3903 0.8700 0.3607  3 O 1.37-1.38
Nb 0.6262 0.7961 0.6290  6 O 1.92-2.14
Nb 0.3738 0.2039 0.3710  6 O 1.92-2.14
Nb 0.1262 0.7039 0.1290  6 O 1.92-2.14
Nb 0.8738 0.2961 0.8710  6 O 1.92-2.14
Li 0.3292 0.5431 0.3884  4 O 1.99-2.15
Li 0.1708 0.0431 0.1116  4 O 1.99-2.15
Li 0.6708 0.4569 0.6116  4 O 1.99-2.15
Li 0.8292 0.9569 0.8884  4 O 1.99-2.15


No. 4
Li3Nd2B3O9 | GGA-PBEsol | optimized geometry

Properties
SG: No. 14
E_form (uncorrected): -2.747 eV per atom
Crystal system: monoclinic

Cell: 5.7142 8.8029 14.0951 Å, 90.00 90.00 103.76°
Closest atoms and distances in Å follow each position.
Sites, in units of the cell vectors:
B 0.0952 0.9813 0.3232  3 O 1.37-1.39
B 0.7506 0.0130 0.0150  3 O 1.38
B 0.5888 0.9724 0.3371  3 O 1.38
B 0.4112 0.0276 0.6629  3 O 1.38
B 0.2506 0.5130 0.4850  3 O 1.38
B 0.5952 0.4813 0.1768  3 O 1.37-1.39
B 0.9112 0.5276 0.8371  3 O 1.38
B 0.0888 0.4724 0.1629  3 O 1.38
B 0.9048 0.0187 0.6768  3 O 1.37-1.39
B 0.7494 0.4870 0.5150  3 O 1.38
B 0.2494 0.9870 0.9850  3 O 1.38
B 0.4048 0.5187 0.8232  3 O 1.37-1.39
O 0.5614 0.8796 0.2573  1 B 1.38
O 0.1471 0.0556 0.2373  1 B 1.37
O 0.8035 0.6482 0.5074  1 B 1.38
O 0.9386 0.6204 0.7573  1 B 1.38
O 0.0614 0.3796 0.2427  1 B 1.38
O 0.3616 0.8663 0.6675  1 B 1.38
O 0.2171 0.8946 0.0656  1 B 1.38
O 0.2829 0.6054 0.5656  1 B 1.38
O 0.7829 0.1054 0.9344  1 B 1.38
O 0.6965 0.8518 0.0074  1 B 1.38
O 0.0730 0.4062 0.0734  1 B 1.38
O 0.1384 0.6337 0.1675  1 B 1.38
O 0.8616 0.3663 0.8325  1 B 1.38
O 0.6471 0.5556 0.2627  1 B 1.37
O 0.6384 0.1337 0.3325  1 B 1.38
O 0.9664 0.1804 0.6695  1 B 1.39
O 0.7264 0.4186 0.6033  1 B 1.38
O 0.4386 0.1204 0.7427  1 B 1.38
O 0.5730 0.9062 0.4266  1 B 1.38
O 0.4664 0.6804 0.8305  1 B 1.39
O 0.4270 0.0938 0.5734  1 B 1.38
O 0.2264 0.9186 0.8967  1 B 1.38
O 0.5336 0.3196 0.1695  1 B 1.39
O 0.2736 0.5814 0.3967  1 B 1.38
O 0.9270 0.5938 0.9266  1 B 1.38
O 0.7736 0.0814 0.1033  1 B 1.38
O 0.8529 0.9444 0.7627  1 B 1.37
O 0.0336 0.8196 0.3305  1 B 1.39
O 0.3869 0.4315 0.9061  1 B 1.39
O 0.6131 0.5685 0.0939  1 B 1.39
O 0.3035 0.1482 0.9926  1 B 1.38
O 0.8869 0.9315 0.5939  1 B 1.39
O 0.1965 0.3518 0.4926  1 B 1.38
O 0.1131 0.0685 0.4061  1 B 1.39
O 0.7171 0.3946 0.4344  1 B 1.38
O 0.3529 0.4444 0.7373  1 B 1.37
Li 0.0706 0.4944 0.6654  4 O 1.96-2.11
Li 0.2943 0.7087 0.2843  4 O 1.91-2.07
Li 0.7943 0.2087 0.2157  4 O 1.91-2.07
Li 0.8399 0.7916 0.8879  4 O 2.00-2.23
Li 0.9294 0.5056 0.3346  4 O 1.96-2.11
Li 0.4294 0.0056 0.1654  4 O 1.96-2.11
Li 0.3399 0.2916 0.6121  4 O 2.00-2.23
Li 0.2057 0.7913 0.7843  4 O 1.91-2.07
Li 0.7057 0.2913 0.7157  4 O 1.91-2.07
Li 0.5706 0.9944 0.8346  4 O 1.96-2.11
Li 0.1601 0.2084 0.1121  4 O 2.00-2.23
Li 0.6601 0.7084 0.3879  4 O 2.00-2.23
Nd 0.3660 0.3075 0.3362  8 O 2.39-2.67
Nd 0.3121 0.6593 0.0025  8 O 2.39-2.57
Nd 0.1879 0.8407 0.5025  8 O 2.39-2.57
Nd 0.6340 0.6925 0.6638  8 O 2.39-2.67
Nd 0.8121 0.1593 0.4975  8 O 2.39-2.57
Nd 0.8660 0.8075 0.1638  8 O 2.39-2.67
Nd 0.1340 0.1925 0.8362  8 O 2.39-2.67
Nd 0.6879 0.3407 0.9975  8 O 2.39-2.57


No. 5
Li6NdB3O9 | GGA-PBEsol | optimized geometry

Properties
SG: No. 14
E_form (uncorrected): -2.483 eV per atom
Crystal system: monoclinic

Cell: 6.7164 7.2606 16.4955 Å, 90.00 90.00 105.41°
Closest atoms and distances in Å follow each position.
Sites, in units of the cell vectors:
O 0.2290 0.2807 0.5670  1 B 1.40
O 0.8329 0.1591 0.6828  1 B 1.39
O 0.8249 0.9157 0.0520  1 B 1.36
O 0.4132 0.5344 0.9137  1 B 1.37
O 0.7710 0.7193 0.4330  1 B 1.40
O 0.7235 0.5698 0.3037  1 B 1.39
O 0.7290 0.2807 0.9330  1 B 1.40
O 0.6751 0.0843 0.5520  1 B 1.36
O 0.5246 0.0004 0.3269  1 B 1.40
O 0.0535 0.7343 0.7006  1 B 1.40
O 0.5535 0.7343 0.7994  1 B 1.40
O 0.6671 0.8409 0.1828  1 B 1.39
O 0.5756 0.3922 0.4244  1 B 1.38
O 0.9244 0.6078 0.9244  1 B 1.38
O 0.4754 0.9996 0.6731  1 B 1.40
O 0.3249 0.9157 0.4480  1 B 1.36
O 0.5868 0.4656 0.0863  1 B 1.37
O 0.9465 0.2657 0.2994  1 B 1.40
O 0.2765 0.4302 0.6963  1 B 1.39
O 0.1671 0.8409 0.3172  1 B 1.39
O 0.2710 0.7193 0.0670  1 B 1.40
O 0.4597 0.1241 0.0715  1 B 1.40
O 0.5403 0.8759 0.9285  1 B 1.40
O 0.4465 0.2657 0.2006  1 B 1.40
O 0.0756 0.3922 0.0756  1 B 1.38
O 0.9754 0.9996 0.8269  1 B 1.40
O 0.0246 0.0004 0.1731  1 B 1.40
O 0.9597 0.1241 0.4285  1 B 1.40
O 0.0868 0.4656 0.4137  1 B 1.37
O 0.2235 0.5698 0.1963  1 B 1.39
O 0.1751 0.0843 0.9480  1 B 1.36
O 0.0403 0.8759 0.5715  1 B 1.40
O 0.3329 0.1591 0.8172  1 B 1.39
O 0.4244 0.6078 0.5756  1 B 1.38
O 0.7765 0.4302 0.8037  1 B 1.39
O 0.9132 0.5344 0.5863  1 B 1.37
Nd 0.6524 0.0814 0.8106  8 O 2.36-2.56
Nd 0.8476 0.9186 0.3106  8 O 2.36-2.56
Nd 0.3476 0.9186 0.1894  8 O 2.36-2.56
Nd 0.1524 0.0814 0.6894  8 O 2.36-2.56
Li 0.4446 0.3072 0.9656  3 O 1.92-2.10
Li 0.6703 0.5453 0.5299  4 O 1.90-2.07
Li 0.0814 0.1391 0.0515  3 O 1.89-2.03
Li 0.6331 0.2867 0.2941  4 O 1.97-2.15
Li 0.0554 0.6928 0.4656  3 O 1.92-2.10
Li 0.4186 0.8609 0.5515  3 O 1.89-2.03
Li 0.5814 0.1391 0.4485  3 O 1.89-2.03
Li 0.4515 0.4433 0.7964  5 O 2.01-2.21
Li 0.8669 0.7133 0.7941  4 O 1.97-2.15
Li 0.1331 0.2867 0.2059  4 O 1.97-2.15
Li 0.1761 0.0729 0.4965  4 O 1.86-1.95
Li 0.5485 0.5567 0.2036  5 O 2.01-2.21
Li 0.8239 0.9271 0.5035  4 O 1.86-1.95
Li 0.0485 0.5567 0.2964  5 O 2.01-2.21
Li 0.9515 0.4433 0.7036  5 O 2.01-2.21
Li 0.3239 0.9271 0.9965  4 O 1.86-1.95
Li 0.3297 0.4547 0.4701  4 O 1.90-2.07
Li 0.9446 0.3072 0.5344  3 O 1.92-2.10
Li 0.8297 0.4547 0.0299  4 O 1.90-2.07
Li 0.3669 0.7133 0.7059  4 O 1.97-2.15
Li 0.9186 0.8609 0.9485  3 O 1.89-2.03
Li 0.6761 0.0729 0.0035  4 O 1.86-1.95
Li 0.1703 0.5453 0.9701  4 O 1.90-2.07
Li 0.5554 0.6928 0.0344  3 O 1.92-2.10
B 0.6618 0.0839 0.6341  3 O 1.36-1.40
B 0.8117 0.4442 0.8867  3 O 1.38-1.40
B 0.0005 0.2893 0.3812  3 O 1.37-1.40
B 0.3117 0.4442 0.6133  3 O 1.38-1.40
B 0.5005 0.2893 0.1188  3 O 1.37-1.40
B 0.6883 0.5558 0.3867  3 O 1.38-1.40
B 0.1883 0.5558 0.1133  3 O 1.38-1.40
B 0.8382 0.9161 0.1341  3 O 1.36-1.40
B 0.3382 0.9161 0.3659  3 O 1.36-1.40
B 0.4995 0.7107 0.8812  3 O 1.37-1.40
B 0.9995 0.7107 0.6188  3 O 1.37-1.40
B 0.1618 0.0839 0.8659  3 O 1.36-1.40


No. 6
Rb2LiNdB2O6 | GGA-PBEsol | optimized geometry

Properties
SG: No. 57
E_form (uncorrected): -2.520 eV per atom
Crystal system: orthorhombic

Cell: 7.0848 9.6442 10.0700 Å, 90.00 90.00 90.00°
Closest atoms and distances in Å follow each position.
Sites, in units of the cell vectors:
O 0.3973 0.8078 0.3931  1 B 1.37
O 0.8121 0.7981 0.2500  1 B 1.39
O 0.3147 0.9724 0.7500  1 B 1.38
O 0.3147 0.5276 0.2500  1 B 1.38
O 0.3973 0.8078 0.1069  1 B 1.37
O 0.1879 0.2019 0.7500  1 B 1.39
O 0.3973 0.6922 0.8931  1 B 1.37
O 0.6027 0.1922 0.6069  1 B 1.37
O 0.9787 0.0039 0.7500  1 B 1.39
O 0.1077 0.7500 0.5000  1 B 1.40
O 0.1077 0.7500 0.0000  1 B 1.40
O 0.6027 0.1922 0.8931  1 B 1.37
O 0.3973 0.6922 0.6069  1 B 1.37
O 0.0213 0.9961 0.2500  1 B 1.39
O 0.8121 0.7019 0.7500  1 B 1.39
O 0.8923 0.2500 0.5000  1 B 1.40
O 0.1879 0.2981 0.2500  1 B 1.39
O 0.6027 0.3078 0.1069  1 B 1.37
O 0.6853 0.0276 0.2500  1 B 1.38
O 0.8923 0.2500 0.0000  1 B 1.40
O 0.0213 0.5039 0.7500  1 B 1.39
O 0.6027 0.3078 0.3931  1 B 1.37
O 0.6853 0.4724 0.7500  1 B 1.38
O 0.9787 0.4961 0.2500  1 B 1.39
Rb 0.7220 0.5847 0.0559  4 O 2.80-3.01
Rb 0.7220 0.9153 0.5559  4 O 2.80-3.01
Rb 0.7220 0.5847 0.4441  4 O 2.80-3.01
Rb 0.2780 0.4153 0.9441  4 O 2.80-3.01
Rb 0.2780 0.0847 0.4441  4 O 2.80-3.01
Rb 0.7220 0.9153 0.9441  4 O 2.80-3.01
Rb 0.2780 0.0847 0.0559  4 O 2.80-3.01
Rb 0.2780 0.4153 0.5559  4 O 2.80-3.01
Nd 0.1366 0.7389 0.2500  8 O 2.37-2.61
Nd 0.8634 0.2389 0.2500  8 O 2.37-2.61
Nd 0.1366 0.7611 0.7500  8 O 2.37-2.61
Nd 0.8634 0.2611 0.7500  8 O 2.37-2.61
B 0.8405 0.9410 0.2500  3 O 1.38-1.39
B 0.6942 0.2500 0.5000  3 O 1.37-1.40
B 0.6942 0.2500 0.0000  3 O 1.37-1.40
B 0.1595 0.0590 0.7500  3 O 1.38-1.39
B 0.8405 0.5590 0.7500  3 O 1.38-1.39
B 0.3058 0.7500 0.5000  3 O 1.37-1.40
B 0.1595 0.4410 0.2500  3 O 1.38-1.39
B 0.3058 0.7500 0.0000  3 O 1.37-1.40
Li 0.4525 0.1488 0.7500  4 O 1.84-1.96
Li 0.5475 0.8512 0.2500  4 O 1.84-1.96
Li 0.4525 0.3512 0.2500  4 O 1.84-1.96
Li 0.5475 0.6488 0.7500  4 O 1.84-1.96


No. 7
LiNiB | GGA-PBEsol | optimized geometry

Properties
Energy of formation from the pure elements: -0.93 eV/f.u.
SG: No. 8
Crystal system: monoclinic

Cell: 3.8696 3.8696 4.5178 Å, 74.90 74.90 77.99°
Closest atoms and distances in Å follow each position.
Sites, in units of the cell vectors:
B 0.1536 0.8016 0.7184  1 B 1.71
B 0.8016 0.1536 0.7184  1 B 1.71
Ni 0.2875 0.2875 0.6798  4 B 1.99-2.01
Ni 0.6867 0.6867 0.6822  4 B 1.99-2.00
Li 0.3598 0.8621 0.1954  1 B 2.25, 2 Li 2.42-2.45, 2 Ni 2.52
Li 0.8621 0.3598 0.1954  1 B 2.25, 2 Li 2.42-2.45, 2 Ni 2.52


No. 8
LiNi3B | GGA-PBEsol | optimized geometry

Properties
Energy of formation from the pure elements: -0.64 eV/f.u.
SG: No. 221
Crystal system: cubic

Cell: 3.7587 3.7587 3.7587 Å, 90.00 90.00 90.00°
Closest atoms and distances in Å follow each position.
Sites, in units of the cell vectors:
Li 0.5000 0.5000 0.5000  12 Ni 2.66
Ni 0.0000 0.5000 0.0000  2 B 1.88
Ni 0.0000 0.0000 0.5000  2 B 1.88
Ni 0.5000 0.0000 0.0000  2 B 1.88
B 0.0000 0.0000 0.0000  6 Ni 1.88


No. 9
Li4NiB2O6 | GGA-PBEsol | optimized geometry

Properties
SG: No. 58
E_form (uncorrected): -1.979 eV per atom
Crystal system: orthorhombic

Cell: 3.1754 7.7508 9.2567 Å, 90.00 90.00 90.00°
Closest atoms and distances in Å follow each position.
Sites, in units of the cell vectors:
Li 0.0000 0.0007 0.2880  4 O 1.86-2.00
Li 0.5000 0.5007 0.2120  4 O 1.86-2.00
Li 0.5000 0.8311 0.4411  4 O 1.88-2.03
Li 0.0000 0.9993 0.7120  4 O 1.86-2.00
Li 0.0000 0.3311 0.0589  4 O 1.88-2.03
Li 0.0000 0.6689 0.9411  4 O 1.88-2.03
Li 0.5000 0.1689 0.5589  4 O 1.88-2.03
Li 0.5000 0.4993 0.7880  4 O 1.86-2.00
O 0.5000 0.0792 0.3697  1 B 1.35
O 0.5000 0.9208 0.6303  1 B 1.35
O 0.5000 0.2510 0.1563  1 B 1.38
O 0.5000 0.6124 0.6076  1 B 1.43
O 0.0000 0.5792 0.1303  1 B 1.35
O 0.5000 0.7490 0.8437  1 B 1.38
O 0.0000 0.2490 0.6563  1 B 1.38
O 0.0000 0.4208 0.8697  1 B 1.35
O 0.5000 0.3876 0.3924  1 B 1.43
O 0.0000 0.1124 0.8924  1 B 1.43
O 0.0000 0.8876 0.1076  1 B 1.43
O 0.0000 0.7510 0.3437  1 B 1.38
B 0.5000 0.2360 0.3052  3 O 1.35-1.43
B 0.0000 0.7360 0.1948  3 O 1.35-1.43
B 0.5000 0.7640 0.6948  3 O 1.35-1.43
B 0.0000 0.2640 0.8052  3 O 1.35-1.43
Ni 0.5000 0.0000 0.0000  4 O 2.07
Ni 0.0000 0.5000 0.5000  4 O 2.07


No. 10
Li2Ni3B3O9 | GGA-PBEsol | optimized geometry

Properties
SG: No. 6
E_form (uncorrected): -1.601 eV per atom
Crystal system: monoclinic

Cell: 5.9342 7.9467 7.9374 Å, 119.85 90.00 90.00°
Closest atoms and distances in Å follow each position.
Sites, in units of the cell vectors:
O 0.5000 0.2513 0.7810  1 B 1.39
O 0.2384 0.9084 0.1056  1 B 1.37
O 0.5000 0.5328 0.7407  1 B 1.38
O 0.2490 0.8927 0.7965  1 B 1.39
O 0.5000 0.5449 0.1368  1 B 1.37
O 0.7353 0.1987 0.0885  1 B 1.37
O 0.0000 0.5946 0.4633  1 B 1.38
O 0.0000 0.2111 0.4720  1 B 1.38
O 0.7510 0.8927 0.7965  1 B 1.39
O 0.7616 0.9084 0.1056  1 B 1.37
O 0.5000 0.2147 0.4603  1 B 1.40
O 0.0000 0.5474 0.1377  1 B 1.38
O 0.0000 0.2495 0.7923  1 B 1.39
O 0.0000 0.5311 0.7529  1 B 1.40
O 0.5000 0.5933 0.4570  1 B 1.39
O 0.0000 0.8652 0.4133  1 B 1.39
O 0.2647 0.1987 0.0885  1 B 1.37
O 0.5000 0.8697 0.4141  1 B 1.38
Ni 0.2526 0.3703 0.9893  5 O 1.88-2.06
Ni 0.7474 0.3703 0.9893  5 O 1.88-2.06
Ni 0.2480 0.6119 0.6322  5 O 1.95-2.03
Ni 0.7510 0.0171 0.3760  5 O 1.87-2.02
Ni 0.2490 0.0171 0.3760  5 O 1.87-2.02
Ni 0.7520 0.6119 0.6322  5 O 1.95-2.03
B 0.5000 0.3336 0.6621  3 O 1.38-1.40
B 0.2508 0.0001 0.9982  3 O 1.37-1.39
B 0.0000 0.6659 0.3371  3 O 1.38-1.39
B 0.0000 0.3296 0.6711  3 O 1.38-1.40
B 0.5000 0.6701 0.3332  3 O 1.37-1.39
B 0.7492 0.0001 0.9982  3 O 1.37-1.39
Li 0.0000 0.7229 0.0259  4 O 1.91-1.99
Li 0.0000 0.9716 0.6986  4 O 1.91-1.98
Li 0.5000 0.9751 0.7015  4 O 1.93-2.00
Li 0.5000 0.3069 0.2760  4 O 1.91-2.00


No. 11
Li2NiBO4 | GGA-PBEsol | optimized geometry

Properties
SG: No. 20
E_form (uncorrected): -1.737 eV per atom
Crystal system: orthorhombic

Cell: 4.9183 4.9183 6.0446 Å, 90.00 90.00 92.15°
Closest atoms and distances in Å follow each position.
Sites, in units of the cell vectors:
Ni 0.1862 0.8138 0.7500  4 O 1.83-1.88
Ni 0.8138 0.1862 0.2500  4 O 1.83-1.88
O 0.2799 0.6149 0.9918  1 B 1.49
O 0.7977 0.8071 0.2961  1 B 1.47
O 0.2023 0.1929 0.7961  1 B 1.47
O 0.7201 0.3851 0.4918  1 B 1.49
O 0.8071 0.7977 0.7039  1 B 1.47
O 0.6149 0.2799 0.0082  1 B 1.49
O 0.3851 0.7201 0.5082  1 B 1.49
O 0.1929 0.2023 0.2039  1 B 1.47
Li 0.8087 0.1913 0.7500  4 O 1.89-1.96
Li 0.1913 0.8087 0.2500  4 O 1.89-1.96
Li 0.3197 0.3197 0.5000  4 O 1.97-1.98
Li 0.6803 0.6803 0.0000  4 O 1.97-1.98
B 0.6851 0.6851 0.5000  4 O 1.47-1.49
B 0.3149 0.3149 0.0000  4 O 1.47-1.49